No. 1
A geometry-optimized NaBe2SiTe4 structure, computed with PBE.

Computed properties:
- formation energy (no corrections) (meV per atom) = -154

Lattice parameters (Å, degrees): 7.603 7.603 7.603 133.15 133.15 68.42
Sites, in units of the cell vectors:
Na  0.000  0.000  0.000
Be  0.250  0.750  0.500
Be  0.750  0.250  0.500
Si  0.500  0.500  0.000
Te  0.117  0.117  0.528
Te  0.410  0.883  0.000
Te  0.590  0.590  0.472
Te  0.883  0.410  0.000

---

No. 2
A geometry-optimized NaBe3Sn structure, computed with PBE.

Computed properties:
- formation energy from the elements (eV/atom) = 1.079
- offset from the most stable computed form (kJ per mole of atoms) = 0.0

Lattice parameters (Å, degrees): 4.767 4.767 4.767 90.00 90.00 90.00
Sites, in units of the cell vectors:
Na  0.000  0.000  0.000
Be  0.000  0.500  0.500
Be  0.500  0.000  0.500
Be  0.500  0.500  0.000
Sn  0.500  0.500  0.500

---

No. 3
A geometry-optimized NaBeSn2 structure, computed with PBE.

Computed properties:
- formation energy from the elements (eV/atom) = 0.096

Lattice parameters (Å, degrees): 7.139 7.139 7.139 33.57 33.57 33.57
Sites, in units of the cell vectors:
Na  0.000  0.000  0.000
Be  0.500  0.500  0.500
Sn  0.220  0.220  0.220
Sn  0.780  0.780  0.780

---

No. 4
A geometry-optimized Na3BeSn structure, computed with PBE.

Computed properties:
- formation energy from the elements (eV/atom) = 0.581
- offset from the most stable computed form (kJ per mole of atoms) = 0.0

Lattice parameters (Å, degrees): 5.292 5.292 5.292 90.00 90.00 90.00
Sites, in units of the cell vectors:
Na  0.000  0.000  0.500
Na  0.000  0.500  0.000
Na  0.500  0.000  0.000
Be  0.000  0.000  0.000
Sn  0.500  0.500  0.500

---

No. 5
A geometry-optimized Na3BeSn structure, computed with PBE.

Computed properties:
- formation energy from the elements (eV/atom) = 0.718
- offset from the most stable computed form (kJ per mole of atoms) = 13.2

Lattice parameters (Å, degrees): 5.932 5.932 5.932 90.00 90.00 90.00
Sites, in units of the cell vectors:
Na  0.000  0.000  0.500
Na  0.000  0.500  0.000
Na  0.500  0.000  0.000
Be  0.500  0.500  0.500
Sn  0.000  0.000  0.000

---

No. 6
A geometry-optimized NaBe2Sn2 structure, computed with PBE.

Computed properties:
- formation energy from the elements (eV/atom) = 0.162
- offset from the most stable computed form (kJ per mole of atoms) = 0.0

Lattice parameters (Å, degrees): 6.413 6.413 6.413 141.82 141.82 55.10
Sites, in units of the cell vectors:
Na  0.000  0.000  0.000
Be  0.250  0.750  0.500
Be  0.750  0.250  0.500
Sn  0.374  0.374  0.000
Sn  0.626  0.626  0.000

---

No. 7
A geometry-optimized NaBe2Sn2 structure, computed with PBE.

Computed properties:
- formation energy from the elements (eV/atom) = 0.337
- offset from the most stable computed form (kJ per mole of atoms) = 16.9

Lattice parameters (Å, degrees): 7.600 7.600 3.307 90.00 90.00 90.00
Sites, in units of the cell vectors:
Na  0.000  0.000  0.000
Na  0.500  0.500  0.000
Be  0.107  0.393  0.000
Be  0.393  0.893  0.000
Be  0.607  0.107  0.000
Be  0.893  0.607  0.000
Sn  0.181  0.681  0.500
Sn  0.319  0.181  0.500
Sn  0.681  0.819  0.500
Sn  0.819  0.319  0.500

---

No. 8
A geometry-optimized NaBe3Sn structure, computed with PBE.

Computed properties:
- formation energy from the elements (eV/atom) = 1.605
- offset from the most stable computed form (kJ per mole of atoms) = 50.7

Lattice parameters (Å, degrees): 4.549 4.549 4.549 90.00 90.00 90.00
Sites, in units of the cell vectors:
Na  0.000  0.000  0.000
Be  0.000  0.000  0.500
Be  0.000  0.500  0.000
Be  0.500  0.000  0.000
Sn  0.500  0.500  0.500

---

No. 9
A geometry-optimized NaBeSn2 structure, computed with PBE.

Computed properties:
- formation energy from the elements (eV/atom) = 0.320

Lattice parameters (Å, degrees): 9.116 9.116 9.116 147.62 147.62 46.44
Sites, in units of the cell vectors:
Na  0.000  0.000  0.000
Na  0.750  0.250  0.500
Be  0.250  0.750  0.500
Be  0.500  0.500  0.000
Sn  0.225  0.625  0.100
Sn  0.375  0.475  0.600
Sn  0.525  0.125  0.900
Sn  0.875  0.775  0.400

---

No. 10
A geometry-optimized NaBeTcSn2 structure, computed with PBE.

Computed properties:
- formation energy from the elements (eV/atom) = 0.935

Lattice parameters (Å, degrees): 5.120 5.120 5.533 90.00 90.00 90.00
Sites, in units of the cell vectors:
Na  0.000  0.000  0.000
Be  0.500  0.500  0.000
Tc  0.000  0.000  0.500
Sn  0.000  0.500  0.500
Sn  0.500  0.000  0.500

---

No. 11
A geometry-optimized Na2BeSnW structure, computed with PBE.

Computed properties:
- formation energy from the elements (eV/atom) = 1.046

Lattice parameters (Å, degrees): 4.653 4.653 4.681 90.00 90.00 90.00
Sites, in units of the cell vectors:
Na  0.000  0.500  0.000
Na  0.500  0.000  0.000
Be  0.000  0.000  0.000
Sn  0.500  0.500  0.500
W  0.000  0.000  0.500

---

No. 12
A geometry-optimized Na2SrBe structure, computed with PBE.

Computed properties:
- formation energy from the elements (eV/atom) = 0.511

Lattice parameters (Å, degrees): 12.592 12.592 12.592 158.97 158.97 29.91
Sites, in units of the cell vectors:
Na  0.083  0.625  0.958
Na  0.375  0.333  0.458
Na  0.667  0.125  0.042
Na  0.875  0.917  0.542
Sr  0.250  0.750  0.500
Sr  0.500  0.500  0.000
Be  0.000  0.000  0.000
Be  0.750  0.250  0.500

---

No. 13
A geometry-optimized Na3SrBe structure, computed with PBE.

Computed properties:
- formation energy from the elements (eV/atom) = 0.461
- offset from the most stable computed form (kJ per mole of atoms) = 0.0

Lattice parameters (Å, degrees): 5.578 5.578 5.578 90.00 90.00 90.00
Sites, in units of the cell vectors:
Na  0.000  0.000  0.500
Na  0.000  0.500  0.000
Na  0.500  0.000  0.000
Sr  0.500  0.500  0.500
Be  0.000  0.000  0.000

---

No. 14
A geometry-optimized Na3SrBe structure, computed with PBE.

Computed properties:
- formation energy from the elements (eV/atom) = 1.199
- offset from the most stable computed form (kJ per mole of atoms) = 71.2

Lattice parameters (Å, degrees): 7.114 7.114 7.114 90.00 90.00 90.00
Sites, in units of the cell vectors:
Na  0.000  0.000  0.500
Na  0.000  0.500  0.000
Na  0.500  0.000  0.000
Sr  0.000  0.000  0.000
Be  0.500  0.500  0.500

---

No. 15
A geometry-optimized NaSrTa2Be structure, computed with PBE.

Computed properties:
- formation energy from the elements (eV/atom) = 1.045

Lattice parameters (Å, degrees): 4.564 4.564 5.775 90.00 90.00 90.00
Sites, in units of the cell vectors:
Na  0.000  0.000  0.000
Sr  0.500  0.500  0.000
Ta  0.000  0.500  0.500
Ta  0.500  0.000  0.500
Be  0.500  0.500  0.500

---

No. 16
A geometry-optimized Na2SrYBe structure, computed with PBE.

Computed properties:
- formation energy from the elements (eV/atom) = 0.475

Lattice parameters (Å, degrees): 5.583 5.583 5.443 90.00 90.00 90.00
Sites, in units of the cell vectors:
Na  0.000  0.500  0.000
Na  0.500  0.000  0.000
Sr  0.000  0.000  0.500
Y  0.500  0.500  0.500
Be  0.500  0.500  0.000

---

No. 17
A geometry-optimized NaTa2Be structure, computed with PBE.

Computed properties:
- formation energy from the elements (eV/atom) = 1.197

Lattice parameters (Å, degrees): 10.542 10.542 10.542 159.08 159.08 29.75
Sites, in units of the cell vectors:
Na  0.000  0.000  0.000
Na  0.750  0.250  0.500
Ta  0.140  0.125  0.515
Ta  0.375  0.860  0.985
Ta  0.610  0.625  0.485
Ta  0.875  0.390  0.015
Be  0.250  0.750  0.500
Be  0.500  0.500  0.000

---

No. 18
A geometry-optimized NaTaBe structure, computed with PBE.

Computed properties:
- formation energy from the elements (eV/atom) = 0.481
- offset from the most stable computed form (kJ per mole of atoms) = 20.4

Lattice parameters (Å, degrees): 2.671 6.425 6.636 103.13 90.41 101.78
Sites, in units of the cell vectors:
Na  0.149  0.282  0.062
Na  0.851  0.718  0.938
Ta  0.145  0.293  0.538
Ta  0.855  0.707  0.462
Be  0.489  0.982  0.321
Be  0.511  0.018  0.679

---

No. 19
A geometry-optimized NaTaBe structure, computed with PBE.

Computed properties:
- formation energy from the elements (eV/atom) = 0.560
- offset from the most stable computed form (kJ per mole of atoms) = 28.0

Lattice parameters (Å, degrees): 7.181 7.181 5.697 90.00 90.00 157.44
Sites, in units of the cell vectors:
Na  0.193  0.807  0.750
Na  0.807  0.193  0.250
Ta  0.500  0.500  0.000
Ta  0.500  0.500  0.500
Be  0.111  0.889  0.250
Be  0.889  0.111  0.750

---

No. 20
A geometry-optimized NaTaBe structure, computed with PBE.

Computed properties:
- formation energy from the elements (eV/atom) = 0.322
- offset from the most stable computed form (kJ per mole of atoms) = 5.0

Lattice parameters (Å, degrees): 2.881 2.881 12.998 90.00 90.16 90.00
Sites, in units of the cell vectors:
Na  0.000  0.000  0.000
Na  0.491  0.500  0.245
Ta  0.001  0.000  0.709
Ta  0.997  0.000  0.459
Be  0.500  0.500  0.580
Be  0.502  0.500  0.827

---

No. 21
A geometry-optimized NaTaBe structure, computed with PBE.

Computed properties:
- formation energy from the elements (eV/atom) = 0.291
- offset from the most stable computed form (kJ per mole of atoms) = 2.0

Lattice parameters (Å, degrees): 2.965 3.564 11.265 90.00 90.82 90.00
Sites, in units of the cell vectors:
Na  0.233  0.250  0.141
Na  0.767  0.750  0.859
Ta  0.244  0.250  0.424
Ta  0.756  0.750  0.576
Be  0.262  0.250  0.670
Be  0.738  0.750  0.330

---

No. 22
A geometry-optimized NaTa2Be2 structure, computed with PBE.

Computed properties:
- formation energy from the elements (eV/atom) = 0.492

Lattice parameters (Å, degrees): 7.695 7.695 2.688 90.00 90.00 90.00
Sites, in units of the cell vectors:
Na  0.000  0.000  0.000
Na  0.500  0.500  0.000
Ta  0.130  0.370  0.500
Ta  0.370  0.870  0.500
Ta  0.630  0.130  0.500
Ta  0.870  0.630  0.500
Be  0.164  0.664  0.000
Be  0.336  0.164  0.000
Be  0.664  0.836  0.000
Be  0.836  0.336  0.000

---

No. 23
A geometry-optimized NaTaBe structure, computed with PBE.

Computed properties:
- formation energy from the elements (eV/atom) = 0.579
- offset from the most stable computed form (kJ per mole of atoms) = 29.9

Lattice parameters (Å, degrees): 3.768 4.937 6.738 104.92 90.02 112.41
Sites, in units of the cell vectors:
Na  0.151  0.302  0.066
Na  0.849  0.698  0.934
Ta  0.148  0.298  0.529
Ta  0.852  0.702  0.471
Be  0.496  0.992  0.332
Be  0.504  0.008  0.668

---

No. 24
A geometry-optimized NaTaBe structure, computed with PBE.

Computed properties:
- formation energy from the elements (eV/atom) = 0.270
- offset from the most stable computed form (kJ per mole of atoms) = 0.0

Lattice parameters (Å, degrees): 10.281 10.281 3.339 90.00 90.00 159.27
Sites, in units of the cell vectors:
Na  0.176  0.824  0.750
Na  0.824  0.176  0.250
Ta  0.447  0.553  0.750
Ta  0.553  0.447  0.250
Be  0.032  0.968  0.750
Be  0.968  0.032  0.250

---

No. 25
A geometry-optimized NaTaBe structure, computed with PBE.

Computed properties:
- formation energy from the elements (eV/atom) = 0.746
- offset from the most stable computed form (kJ per mole of atoms) = 45.9

Lattice parameters (Å, degrees): 13.704 6.443 2.552 90.00 90.00 90.00
Sites, in units of the cell vectors:
Na  0.158  0.250  0.006
Na  0.342  0.750  0.506
Na  0.658  0.250  0.494
Na  0.842  0.750  0.994
Ta  0.112  0.750  0.000
Ta  0.388  0.250  0.500
Ta  0.612  0.750  0.500
Ta  0.888  0.250  0.000
Be  0.000  0.000  0.500
Be  0.000  0.500  0.500
Be  0.500  0.000  0.000
Be  0.500  0.500  0.000

---

No. 26
A geometry-optimized NaTaBe structure, computed with PBE.

Computed properties:
- formation energy from the elements (eV/atom) = 0.887
- offset from the most stable computed form (kJ per mole of atoms) = 59.5

Lattice parameters (Å, degrees): 4.583 4.583 5.124 90.00 90.00 120.00
Sites, in units of the cell vectors:
Na  0.000  0.000  0.000
Na  0.000  0.000  0.500
Ta  0.333  0.667  0.250
Ta  0.667  0.333  0.750
Be  0.333  0.667  0.750
Be  0.667  0.333  0.250

---

| no. | D(E_F) (states/eV per cell) |
| --- | --- |
| 1 | 6.22 |
| 2 | 4.61 |
| 3 | 1.76 |
| 4 | 3.71 |
| 5 | 1.99 |
| 6 | 1.00 |
| 7 | 2.94 |
| 8 | 1.89 |
| 9 | 5.77 |
| 10 | 2.87 |
| 11 | 3.20 |
| 12 | 6.20 |
| 13 | 3.53 |
| 14 | 4.91 |
| 15 | 4.24 |
| 16 | 4.88 |
| 17 | 8.77 |
| 18 | 2.89 |
| 19 | 4.82 |
| 20 | 5.53 |
| 21 | 3.19 |
| 22 | 9.50 |
| 23 | 2.05 |
| 24 | 3.57 |
| 25 | 6.11 |
| 26 | 1.26 |